Record 1
Below is an optimized crystal structure of CaThSc2, with properties calculated at the PBE level.

## Properties
Polymorph energy (0 for the lowest one) = 23 meV/atom
Crystal system = trigonal
DFT formation energy = 0.1128 eV/atom
N(E_F) = 5.99 states/eV per cell

Cell lengths 11.3985, 11.3985, 11.3985 Å; angles 17.67, 17.67, 17.67 degrees
Fractional coordinates of all 4 atoms:
Ca  0.0000  0.0000  0.0000
Th  0.5000  0.5000  0.5000
Sc  0.2442  0.2442  0.2442
Sc  0.7558  0.7558  0.7558

Record 2
Below is an optimized crystal structure of CaThSc2, with properties calculated at the PBE level.

## Properties
Polymorph energy (0 for the lowest one) = 75 meV/atom
Crystal system = tetragonal
DFT formation energy = 0.1646 eV/atom
N(E_F) = 5.10 states/eV per cell

Cell lengths 5.5779, 5.5779, 3.7336 Å; angles 90.00, 90.00, 90.00 degrees
Fractional coordinates of all 4 atoms:
Ca  0.0000  0.0000  0.0000
Th  0.5000  0.5000  0.0000
Sc  0.0000  0.5000  0.5000
Sc  0.5000  0.0000  0.5000

Record 3
Below is an optimized crystal structure of CaThSc, with properties calculated at the PBE level.

## Properties
Polymorph energy (0 for the lowest one) = 22 meV/atom
Crystal system = tetragonal
DFT formation energy = 0.1372 eV/atom
N(E_F) = 3.85 states/eV per cell

Cell lengths 8.2307, 8.2307, 8.2307 Å; angles 155.45, 155.45, 35.00 degrees
Fractional coordinates of all 3 atoms:
Ca  0.0000  0.0000  0.0000
Th  0.3154  0.3154  0.0000
Sc  0.6730  0.6730  0.0000

Record 4
Below is an optimized crystal structure of CaTh2Sc, with properties calculated at the PBE level.

## Properties
Polymorph energy (0 for the lowest one) = 0 meV/atom
Crystal system = tetragonal
DFT formation energy = 0.1335 eV/atom
N(E_F) = 5.51 states/eV per cell

Cell lengths 3.4945, 3.4945, 10.4345 Å; angles 90.00, 90.00, 90.00 degrees
Fractional coordinates of all 4 atoms:
Ca  0.0000  0.0000  0.0000
Th  0.5000  0.5000  0.2769
Th  0.5000  0.5000  0.7231
Sc  0.0000  0.0000  0.5000

Record 5
Below is an optimized crystal structure of CaThSc, with properties calculated at the PBE level.

## Properties
Polymorph energy (0 for the lowest one) = 31 meV/atom
Crystal system = trigonal
DFT formation energy = 0.1464 eV/atom
N(E_F) = 5.20 states/eV per cell

Cell lengths 3.5376, 3.5376, 8.7456 Å; angles 90.00, 90.00, 120.00 degrees
Fractional coordinates of all 3 atoms:
Ca  0.0000  0.0000  0.0000
Th  0.3333  0.6667  0.6423
Sc  0.6667  0.3333  0.3418

Record 6
Below is an optimized crystal structure of CaTh2Sc, with properties calculated at the PBE level.

## Properties
Polymorph energy (0 for the lowest one) = 117 meV/atom
Crystal system = trigonal
DFT formation energy = 0.2508 eV/atom
N(E_F) = 6.85 states/eV per cell

Cell lengths 12.7262, 12.7262, 12.7262 Å; angles 15.55, 15.55, 15.55 degrees
Fractional coordinates of all 4 atoms:
Ca  0.0000  0.0000  0.0000
Th  0.0914  0.0914  0.0914
Th  0.9086  0.9086  0.9086
Sc  0.5000  0.5000  0.5000

Record 7
Below is an optimized crystal structure of CaThSc, with properties calculated at the PBE level.

## Properties
Polymorph energy (0 for the lowest one) = 0 meV/atom
Crystal system = tetragonal
DFT formation energy = 0.1153 eV/atom
N(E_F) = 9.10 states/eV per cell

Cell lengths 3.5178, 3.5178, 15.5677 Å; angles 90.00, 90.00, 90.00 degrees
Fractional coordinates of all 6 atoms:
Ca  0.2500  0.2500  0.0996
Ca  0.7500  0.7500  0.9004
Th  0.2500  0.2500  0.7177
Th  0.7500  0.7500  0.2823
Sc  0.2500  0.2500  0.4270
Sc  0.7500  0.7500  0.5730

Record 8
Below is an optimized crystal structure of CaThSc2, with properties calculated at the PBE level.

## Properties
Polymorph energy (0 for the lowest one) = 0 meV/atom
Crystal system = tetragonal
DFT formation energy = 0.0893 eV/atom
N(E_F) = 4.66 states/eV per cell

Cell lengths 3.5363, 3.5363, 9.6396 Å; angles 90.00, 90.00, 90.00 degrees
Fractional coordinates of all 4 atoms:
Ca  0.0000  0.0000  0.0000
Th  0.0000  0.0000  0.5000
Sc  0.5000  0.5000  0.2749
Sc  0.5000  0.5000  0.7251